Below is CuTcP after structural relaxation, with properties calculated at the PBE level.

Unit cell a=4.547 b=2.992 c=6.394 alpha=90.00 beta=109.34 gamma=90.00
Fractional positions:
Cu: 0.245 0.250 0.039
Cu: 0.755 0.750 0.961
Tc: 0.205 0.750 0.410
Tc: 0.795 0.250 0.590
P: 0.353 0.250 0.713
P: 0.647 0.750 0.287

As for the energy above the most stable polymorph in this dataset: 0.03 eV per formula unit. The formation energy comes out at -0.26 eV/atom. The space group is P2_1/m.